Density functional theory data (PBE) for a relaxed Th2PSe2 crystal.

Distance to the lowest polymorph of the same formula, meV/atom: 0
Size of the total moment, μB per atom: 0.000
Crystal system: monoclinic
Space-group type: No. 12
Formation energy (no corrections), meV/atom: -1581

POSCAR file:
```
Th2PSe2
1.0
4.1427 0.0000 0.7734
2.0124 3.6360 0.7022
0.0767 0.0178 11.0706
Th P Se
2 1 2
Cartesian
3.4459 0.7640 4.5054
2.7859 2.8898 8.0409
1.0446 1.8269 5.8864
3.7001 3.3294 3.1442
2.5317 0.3244 9.4021
```

Density functional theory data (PBE) for a relaxed Th4PSe4 crystal.

Distance to the lowest polymorph of the same formula, meV/atom: 0
Size of the total moment, μB per atom: 0.000
Crystal system: monoclinic
Space-group type: No. 12
Formation energy (no corrections), meV/atom: -1662

POSCAR file:
```
Th4PSe4
1.0
4.0713 0.0000 0.9623
1.7349 6.7750 1.7538
-0.0525 -0.0585 9.3161
Th P Se
4 1 4
Cartesian
1.4070 0.6946 3.1412
4.3467 6.0220 8.8910
4.1298 1.8313 9.8090
1.6239 4.8853 2.2232
2.0357 0.0000 0.4811
3.5081 2.8053 3.3454
5.0230 5.4557 6.0299
2.2456 3.9113 8.6868
0.7307 1.2608 6.0023
```

Density functional theory data (PBE) for a relaxed Th5PSe5 crystal.

Size of the total moment, μB per atom: 0.000
Crystal system: monoclinic
Space-group type: No. 12
Formation energy (no corrections), meV/atom: -1629

POSCAR file:
```
Th5PSe5
1.0
-2.3828 -5.3252 0.9094
0.3843 1.9159 -6.9419
7.4835 -2.9884 2.1088
Th P Se
5 1 5
Cartesian
-0.5669 -3.6313 -3.5813
3.3502 -5.2033 -2.5229
-1.1914 -2.6626 0.4547
2.1348 -1.1945 -1.4009
6.0519 -2.7665 -0.3425
0.0000 0.0000 0.0000
1.0917 -3.9308 -0.9891
4.6416 -5.3276 0.1327
3.7417 -1.4942 1.0544
0.8434 -1.0701 -4.0565
4.3933 -2.4670 -2.9347
```

Density functional theory data (PBE) for a relaxed Th4PSe5 crystal.

Size of the total moment, μB per atom: 0.000
Crystal system: monoclinic
Space-group type: No. 12
Formation energy (no corrections), meV/atom: -1642

POSCAR file:
```
Th4PSe5
1.0
4.2024 0.0000 0.0000
0.0000 8.2702 -0.5172
-2.1012 -1.7180 8.9793
Th P Se
4 1 5
Cartesian
0.0000 6.2967 5.5799
0.0000 6.2809 -0.3910
2.1012 0.2554 2.8822
2.1012 0.2713 8.8531
2.1012 0.0000 0.0000
2.1012 4.3090 5.6711
2.1012 0.1580 5.8614
0.0000 6.3941 2.6007
2.1012 4.1351 -0.2586
0.0000 2.2432 2.7909
```

Density functional theory data (PBE) for a relaxed Th2PSe crystal.

Distance to the lowest polymorph of the same formula, meV/atom: 83
Size of the total moment, μB per atom: 0.000
Crystal system: trigonal
Space-group type: No. 160
Formation energy (no corrections), meV/atom: -1521

POSCAR file:
```
Th2PSe
1.0
-3.6696 -1.5975 0.4678
-0.6372 -2.7865 2.8401
-3.1430 3.8844 5.9644
Th P Se
2 1 1
Cartesian
-2.7589 2.6816 4.8705
-1.8154 -0.2721 2.1841
-6.0126 0.9565 8.1648
-3.7310 -0.2309 4.6533
```

Density functional theory data (PBE) for a relaxed Th5P4Se crystal.

Size of the total moment, μB per atom: 0.000
Crystal system: orthorhombic
Space-group type: No. 71
Formation energy (no corrections), meV/atom: -1562

POSCAR file:
```
Th5P4Se
1.0
0.5591 -2.2993 -3.4105
3.8656 -3.3495 2.8919
-9.9148 -3.4835 3.2492
Th P Se
5 4 1
Cartesian
-1.3449 -2.4800 -1.0747
-4.3550 -4.9451 0.0937
-1.1351 -4.1872 2.6368
1.9328 -1.6748 1.4459
-4.1452 -6.6523 3.8052
-6.1712 -5.0539 2.3954
-2.3844 -6.5889 1.5250
-3.1057 -2.5434 1.2055
0.6811 -4.0784 0.3351
0.0000 0.0000 0.0000
```

Density functional theory data (PBE) for a relaxed Th2PSe crystal.

Distance to the lowest polymorph of the same formula, meV/atom: 29
Size of the total moment, μB per atom: 0.000
Crystal system: hexagonal
Space-group type: No. 194
Formation energy (no corrections), meV/atom: -1574

POSCAR file:
```
Th2PSe
1.0
-1.8087 -3.1187 -1.9357
4.0306 0.5888 -0.3896
2.3448 -8.4709 11.4574
Th P Se
4 2 2
Cartesian
2.9986 -3.9504 3.5631
2.2245 -9.4217 8.7764
1.5682 -7.0504 5.5691
2.3422 -1.5791 0.3558
1.1724 -4.2355 5.7287
0.0000 0.0000 0.0000
0.7240 -4.0006 1.4441
3.8428 -7.0002 7.6882
```

Density functional theory data (PBE) for a relaxed ThPSe crystal.

Size of the total moment, μB per atom: 0.000
Crystal system: tetragonal
Space-group type: No. 107
Formation energy (no corrections), meV/atom: -1096

POSCAR file:
```
ThPSe
1.0
3.9086 0.0000 0.0000
0.0000 3.9086 0.0000
-1.9543 -1.9543 4.6028
P Th Se
1 1 1
Cartesian
0.0000 0.0000 2.7585
1.9543 1.9543 1.6379
0.0000 0.0000 0.2064
```